# CoOsW2

An optimized crystal structure of CoOsW2 (GGA-PBE, Alexandria via LeMat-Bulk).

```
data_CoOsW2
_chemical_formula_sum 'Co1 Os1 W2'
_cell_length_a 2.7595
_cell_length_b 3.8130
_cell_length_c 5.4576
_cell_angle_alpha 90.00
_cell_angle_beta 90.23
_cell_angle_gamma 90.00
_space_group_name_H-M_alt 'P 1'
_space_group_IT_number 1
_space_group_name_Hall 'P 1'
loop_
_atom_site_label
_atom_site_type_symbol
_atom_site_fract_x
_atom_site_fract_y
_atom_site_fract_z
Co1 Co 0.0000 0.0000 0.0000
Os1 Os 0.0000 0.0000 0.5000
W1 W 0.4975 0.5000 0.2444
W2 W 0.5025 0.5000 0.7556
```

Calculated values
Symmetry = P2/m
E above lowest polymorph = 0.0417 eV/atom
ΔE_f = 0.0822 eV per atom
Calculated density = 17.84 g/cm³
Magnetization = 0.00 μB per cell

# CoOs2W

An optimized crystal structure of CoOs2W (GGA-PBE, Alexandria via LeMat-Bulk).

```
data_CoOs2W
_chemical_formula_sum 'Co2 Os4 W2'
_cell_length_a 8.7712
_cell_length_b 2.7389
_cell_length_c 4.7402
_cell_angle_alpha 90.00
_cell_angle_beta 99.92
_cell_angle_gamma 90.00
_space_group_name_H-M_alt 'P 1'
_space_group_IT_number 1
_space_group_name_Hall 'P 1'
loop_
_atom_site_label
_atom_site_type_symbol
_atom_site_fract_x
_atom_site_fract_y
_atom_site_fract_z
Co1 Co 0.0000 0.0000 0.0000
Co2 Co 0.5000 0.5000 0.0000
Os1 Os 0.2467 0.5000 0.2298
Os2 Os 0.2533 0.0000 0.7702
Os3 Os 0.7467 0.0000 0.2298
Os4 Os 0.7533 0.5000 0.7702
W1 W 0.0000 0.5000 0.5000
W2 W 0.5000 0.0000 0.5000
```

Calculated values
Symmetry = C2/m
E above lowest polymorph = 0.1066 eV/atom
ΔE_f = 0.1103 eV per atom
Calculated density = 18.45 g/cm³
Magnetization = 1.40 μB per cell

# CoOs4W

An optimized crystal structure of CoOs4W (GGA-PBE, Alexandria via LeMat-Bulk).

```
data_CoOs4W
_chemical_formula_sum 'Co1 Os4 W1'
_cell_length_a 5.0781
_cell_length_b 5.0781
_cell_length_c 5.0781
_cell_angle_alpha 60.00
_cell_angle_beta 60.00
_cell_angle_gamma 60.00
_space_group_name_H-M_alt 'P 1'
_space_group_IT_number 1
_space_group_name_Hall 'P 1'
loop_
_atom_site_label
_atom_site_type_symbol
_atom_site_fract_x
_atom_site_fract_y
_atom_site_fract_z
Co1 Co 0.0000 0.0000 0.0000
Os1 Os 0.1237 0.6254 0.6254
Os2 Os 0.6254 0.1237 0.6254
Os3 Os 0.6254 0.6254 0.1237
Os4 Os 0.6254 0.6254 0.6254
W1 W 0.2500 0.2500 0.2500
```

Calculated values
Symmetry = F-43m
ΔE_f = 0.6576 eV per atom
Calculated density = 18.00 g/cm³
Magnetization = 2.54 μB per cell

# CoOsW

An optimized crystal structure of CoOsW (GGA-PBE, Alexandria via LeMat-Bulk).

```
data_CoOsW
_chemical_formula_sum 'Co1 Os1 W1'
_cell_length_a 4.2353
_cell_length_b 4.2353
_cell_length_c 2.6769
_cell_angle_alpha 90.00
_cell_angle_beta 90.00
_cell_angle_gamma 120.00
_space_group_name_H-M_alt 'P 1'
_space_group_IT_number 1
_space_group_name_Hall 'P 1'
loop_
_atom_site_label
_atom_site_type_symbol
_atom_site_fract_x
_atom_site_fract_y
_atom_site_fract_z
Co1 Co 0.0000 0.0000 0.0000
Os1 Os 0.6667 0.3333 0.4819
W1 W 0.3333 0.6667 0.9138
```

Calculated values
Symmetry = P3m1
E above lowest polymorph = 0.1228 eV/atom
ΔE_f = 0.1440 eV per atom
Calculated density = 17.29 g/cm³
Magnetization = 0.00 μB per cell

no.,DOS at the Fermi energy (states/eV/atom)
1,0.95
2,0.98
3,1.33
4,1.08